Entry 1:
Material: Tb12CuRu6
Method: DFT, PBE
State: relaxed

Structure (POSCAR):
```
Tb12CuRu6
1.0
6.231 3.598 3.774
-6.231 3.598 3.774
0.000 -7.195 3.774
Tb Cu Ru
12 1 6
Direct
0.057 0.918 0.672
0.082 0.328 0.943
0.178 0.565 0.417
0.328 0.943 0.082
0.417 0.178 0.565
0.435 0.583 0.822
0.565 0.417 0.178
0.583 0.822 0.435
0.672 0.057 0.918
0.822 0.435 0.583
0.918 0.672 0.057
0.943 0.082 0.328
0.000 0.000 0.000
0.134 0.300 0.615
0.300 0.615 0.134
0.385 0.866 0.700
0.615 0.134 0.300
0.700 0.385 0.866
0.866 0.700 0.385
```

* symmetry: R-3
* density of states at the Fermi level: 12.45 states/eV/cell



Entry 2:
Material: Tb2CuRu2
Method: DFT, PBE
State: relaxed

Structure (POSCAR):
```
Tb2CuRu2
1.0
4.557 -2.737 0.000
4.557 2.737 0.000
-2.025 0.000 7.937
Tb Cu Ru
4 2 4
Direct
0.012 0.291 0.152
0.291 0.012 0.652
0.709 0.988 0.348
0.988 0.709 0.848
0.352 0.648 0.250
0.648 0.352 0.750
0.236 0.500 0.495
0.500 0.236 0.995
0.500 0.764 0.005
0.764 0.500 0.505
```

* symmetry: C2/c
* density of states at the Fermi level: 8.23 states/eV/cell



Entry 3:
Material: Tb2CuRu
Method: DFT, PBE
State: relaxed

Structure (POSCAR):
```
Tb2CuRu
1.0
3.430 0.000 0.000
0.000 3.430 0.000
0.000 0.000 7.032
Tb Cu Ru
2 1 1
Direct
0.000 0.000 0.240
0.000 0.000 0.760
0.500 0.500 0.500
0.500 0.500 0.000
```

* symmetry: P4/mmm
* density of states at the Fermi level: 2.89 states/eV/cell



Entry 4:
Material: Tb5CuRu4
Method: DFT, PBE
State: relaxed

Structure (POSCAR):
```
Tb5CuRu4
1.0
3.424 0.000 0.000
0.000 3.424 0.000
0.000 0.000 17.293
Tb Cu Ru
5 1 4
Direct
0.000 0.000 0.000
0.000 0.000 0.196
0.000 0.000 0.392
0.000 0.000 0.608
0.000 0.000 0.804
0.500 0.500 0.500
0.500 0.500 0.099
0.500 0.500 0.300
0.500 0.500 0.700
0.500 0.500 0.901
```

* symmetry: P4/mmm
* density of states at the Fermi level: 3.89 states/eV/cell



Entry 5:
Material: TbCuRu
Method: DFT, PBE
State: relaxed

Structure (POSCAR):
```
TbCuRu
1.0
-2.549 2.610 3.920
2.549 -2.610 3.920
2.549 2.610 -3.920
Tb Cu Ru
2 2 2
Direct
0.377 0.127 0.250
0.623 0.873 0.750
0.000 0.000 0.500
0.000 0.500 0.000
0.000 0.500 0.500
0.500 0.500 0.000
```

* energy relative to the lowest polymorph listed for this composition: 0 meV per atom
* symmetry: Imma
* density of states at the Fermi level: 3.36 states/eV/cell



Entry 6:
Material: Tb4CuRu3
Method: DFT, PBE
State: relaxed

Structure (POSCAR):
```
Tb4CuRu3
1.0
4.856 0.000 0.000
0.000 4.856 0.000
0.000 0.000 6.861
Tb Cu Ru
4 1 3
Direct
0.000 0.500 0.245
0.000 0.500 0.755
0.500 0.000 0.245
0.500 0.000 0.755
0.000 0.000 0.500
0.000 0.000 0.000
0.500 0.500 0.000
0.500 0.500 0.500
```

* symmetry: P4/mmm
* density of states at the Fermi level: 4.68 states/eV/cell



| no. | total DFT energy (no corrections) (Ha/atom) |
| --- | --- |
| 1 | -0.229 |
| 2 | -0.243 |
| 3 | -0.220 |
| 4 | -0.248 |
| 5 | -0.231 |
| 6 | -0.244 |